(1)
PBE CaAg2Bi2, optimized geometry; energy of formation = -1.04 eV per formula unit
1.0
-7.740 0.599 -2.808
2.051 -4.497 -6.611
-0.935 -3.209 1.893
Bi Ag Ca
4 4 2
Direct
0.819 0.319 0.500 Bi
0.681 0.819 0.500 Bi
0.181 0.681 0.500 Bi
0.319 0.181 0.500 Bi
0.620 0.120 0.000 Ag
0.120 0.380 0.000 Ag
0.380 0.880 0.000 Ag
0.880 0.620 0.000 Ag
0.000 0.000 0.000 Ca
0.500 0.500 0.000 Ca

(2)
PBE Sr2GdIn, optimized geometry; energy of formation = 0.49 eV per formula unit
1.0
3.830 0.000 0.000
1.915 3.317 0.000
1.915 1.106 12.543
Sr In Gd
2 1 1
Direct
0.904 0.904 0.288 Sr
0.096 0.096 0.712 Sr
0.500 0.500 0.500 In
0.000 0.000 0.000 Gd

Question: Which value of energy of formation does entry 2 give?
Answer: 0.49 eV per formula unit